[1]
## Sm12Ru3N5 (PBE-GGA)

Data for a relaxed structure of Sm12Ru3N5.

Unit cell a=13.4270 b=13.4270 c=13.4270 alpha=109.47 beta=109.47 gamma=109.47
Closest atoms and distances in Å follow each position.
Sites, in units of the cell vectors:
Sm 0.8782 0.5840 0.9036  2 N 2.30-2.53
Sm 0.8195 0.9036 0.0254  2 N 2.30-2.53
Sm 0.9746 0.5964 0.1805  2 N 2.30-2.53
Sm 0.7059 0.1218 0.0254  2 N 2.30-2.53
Sm 0.3782 0.9746 0.7941  2 N 2.30-2.53
Sm 0.2941 0.8782 0.9746  2 N 2.30-2.53
Sm 0.4160 0.2941 0.3195  2 N 2.30-2.53
Sm 0.0964 0.9160 0.1218  2 N 2.30-2.53
Sm 0.0964 0.1805 0.4746  2 N 2.30-2.53
Sm 0.5254 0.3195 0.9036  2 N 2.30-2.53
Sm 0.9036 0.8195 0.5254  2 N 2.30-2.53
Sm 0.9160 0.8195 0.7941  2 N 2.30-2.53
Sm 0.7059 0.5840 0.1805  2 N 2.30-2.53
Sm 0.6218 0.0254 0.2059  2 N 2.30-2.53
Sm 0.6805 0.2059 0.5840  2 N 2.30-2.53
Sm 0.5840 0.7059 0.6805  2 N 2.30-2.53
Sm 0.3195 0.7941 0.4160  2 N 2.30-2.53
Sm 0.1805 0.0840 0.7059  2 N 2.30-2.53
Sm 0.4746 0.7941 0.8782  2 N 2.30-2.53
Sm 0.9746 0.3782 0.2941  2 N 2.30-2.53
Sm 0.6218 0.5964 0.9160  2 N 2.30-2.53
Sm 0.7941 0.4746 0.3782  2 N 2.30-2.53
Sm 0.4036 0.3782 0.5840  2 N 2.30-2.53
Sm 0.8782 0.2941 0.4746  2 N 2.30-2.53
Sm 0.0840 0.1805 0.2059  2 N 2.30-2.53
Sm 0.1805 0.0964 0.9746  2 N 2.30-2.53
Sm 0.2941 0.4160 0.8195  2 N 2.30-2.53
Sm 0.4160 0.1218 0.5964  2 N 2.30-2.53
Sm 0.8195 0.9160 0.2941  2 N 2.30-2.53
Sm 0.5254 0.2059 0.1218  2 N 2.30-2.53
Sm 0.7941 0.3195 0.9160  2 N 2.30-2.53
Sm 0.9160 0.0964 0.6218  2 N 2.30-2.53
Sm 0.3782 0.4036 0.0840  2 N 2.30-2.53
Sm 0.5840 0.8782 0.4036  2 N 2.30-2.53
Sm 0.5964 0.9746 0.6805  2 N 2.30-2.53
Sm 0.5964 0.6218 0.4160  2 N 2.30-2.53
Sm 0.0254 0.6218 0.7059  2 N 2.30-2.53
Sm 0.0254 0.4036 0.8195  2 N 2.30-2.53
Sm 0.1218 0.7059 0.5254  2 N 2.30-2.53
Sm 0.3195 0.5254 0.4036  2 N 2.30-2.53
Sm 0.1218 0.4160 0.0964  2 N 2.30-2.53
Sm 0.9036 0.0840 0.8782  2 N 2.30-2.53
Sm 0.4746 0.6805 0.0964  2 N 2.30-2.53
Sm 0.2059 0.5254 0.6218  2 N 2.30-2.53
Sm 0.6805 0.4746 0.5964  2 N 2.30-2.53
Sm 0.4036 0.0254 0.3195  2 N 2.30-2.53
Sm 0.0840 0.9036 0.3782  2 N 2.30-2.53
Sm 0.2059 0.6805 0.0840  2 N 2.30-2.53
Ru 0.8750 0.1250 0.2500  8 Sm 2.97-3.09
Ru 0.8750 0.7500 0.1250  8 Sm 2.97-3.09
Ru 0.7500 0.8750 0.6250  8 Sm 2.97-3.09
Ru 0.3750 0.7500 0.6250  8 Sm 2.97-3.09
Ru 0.6250 0.3750 0.7500  8 Sm 2.97-3.09
Ru 0.2500 0.6250 0.8750  8 Sm 2.97-3.09
Ru 0.7500 0.3750 0.1250  8 Sm 2.97-3.09
Ru 0.1250 0.2500 0.8750  8 Sm 2.97-3.09
Ru 0.6250 0.2500 0.3750  8 Sm 2.97-3.09
Ru 0.3750 0.6250 0.2500  8 Sm 2.97-3.09
Ru 0.2500 0.1250 0.3750  8 Sm 2.97-3.09
Ru 0.1250 0.8750 0.7500  8 Sm 2.97-3.09
N 0.6250 0.7500 0.8750  4 Sm 2.30
N 0.5000 0.0000 0.5000  6 Sm 2.53
N 0.8750 0.2500 0.6250  4 Sm 2.30
N 0.0000 0.0000 0.0000  6 Sm 2.53
N 0.0000 0.0000 0.5000  6 Sm 2.53
N 0.6250 0.8750 0.2500  4 Sm 2.30
N 0.5000 0.5000 0.5000  6 Sm 2.53
N 0.7500 0.1250 0.8750  4 Sm 2.30
N 0.2500 0.3750 0.6250  4 Sm 2.30
N 0.7500 0.6250 0.3750  4 Sm 2.30
N 0.0000 0.5000 0.0000  6 Sm 2.53
N 0.0000 0.5000 0.5000  6 Sm 2.53
N 0.3750 0.2500 0.1250  4 Sm 2.30
N 0.5000 0.5000 0.0000  6 Sm 2.53
N 0.2500 0.8750 0.1250  4 Sm 2.30
N 0.8750 0.6250 0.7500  4 Sm 2.30
N 0.5000 0.0000 0.0000  6 Sm 2.53
N 0.1250 0.3750 0.2500  4 Sm 2.30
N 0.3750 0.1250 0.7500  4 Sm 2.30
N 0.1250 0.7500 0.3750  4 Sm 2.30

[2]
## Sm2RuN (PBE-GGA)

Data for a relaxed structure of Sm2RuN.

Unit cell a=3.5353 b=3.5353 c=7.4022 alpha=76.18 beta=76.18 gamma=60.00
Closest atoms and distances in Å follow each position.
Sites, in units of the cell vectors:
Sm 0.7650 0.7650 0.7051  3 N 2.51
Sm 0.2350 0.2350 0.2949  3 N 2.51
N 0.5000 0.5000 0.5000  6 Sm 2.51
Ru 0.0000 0.0000 0.0000  6 Sm 2.93

[3]
## SmRuN (PBE-GGA)

Data for a relaxed structure of SmRuN.

* offset from the most stable computed form: 0.00 eV/f.u.

Unit cell a=2.9934 b=5.7477 c=11.0669 alpha=90.00 beta=90.00 gamma=90.00
Closest atoms and distances in Å follow each position.
Sites, in units of the cell vectors:
N 0.7500 0.3077 0.1720  2 Ru 2.05
N 0.7500 0.8077 0.3280  2 Ru 2.05
N 0.2500 0.1923 0.6720  2 Ru 2.05
N 0.2500 0.6923 0.8280  2 Ru 2.05
Ru 0.7500 0.8467 0.9261  2 N 2.05
Ru 0.7500 0.3467 0.5739  2 N 2.05
Ru 0.2500 0.1533 0.0739  2 N 2.05
Ru 0.2500 0.6533 0.4261  2 N 2.05
Sm 0.7500 0.8450 0.6566  4 N 2.50-2.57
Sm 0.2500 0.1550 0.3434  4 N 2.50-2.57
Sm 0.7500 0.3450 0.8434  4 N 2.50-2.57
Sm 0.2500 0.6550 0.1566  4 N 2.50-2.57

Number 1: total energy -7.011 eV/atom. Number 2: total energy -7.358 eV/atom. Number 3: total energy -7.800 eV/atom.